[1]
A relaxed structure of BeNi2. Source: the Alexandria database, functional GGA-PBEsol.

Summary:
Its magnetic moment is 0.00 μB/f.u. The value obtained for the electronic total energy is -68.4 eV for the cell shown. Its formation enthalpy at 0 K is -0.263 eV per atom.

Lattice parameters (Å, degrees): 5.104 5.104 4.233 90.00 90.00 90.00
Space group I4/mcm (No. 140)
Asymmetric unit:
Be  0.000  0.000  0.250 (multiplicity 4)
Ni  0.159  0.341  0.000 (multiplicity 8)

[2]
A relaxed structure of MgZnCd2. Source: the Alexandria database, functional GGA-PBEsol.

Summary:
Its magnetic moment is 0.00 μB/f.u. The value obtained for the electronic total energy is -11.5 eV for the cell shown. Its formation enthalpy at 0 K is -0.010 eV per atom. Its distance to the lowest polymorph of the same formula is 0.08 eV per formula unit.

Lattice parameters (Å, degrees): 9.522 3.104 5.342 90.00 101.54 90.00
Space group Cm (No. 8)
Asymmetric unit:
Mg  0.000  0.000  0.000 (multiplicity 2)
Zn  0.256  0.000  0.764 (multiplicity 2)
Cd  0.012  0.500  0.523 (multiplicity 2)
Cd  0.255  0.500  0.258 (multiplicity 2)

[3]
A relaxed structure of NaY2Cl. Source: the Alexandria database, functional GGA-PBEsol.

Summary:
Its magnetic moment is 0.00 μB/f.u. The value obtained for the electronic total energy is -68.7 eV for the cell shown.

Lattice parameters (Å, degrees): 7.484 7.484 7.484 90.00 90.00 90.00
Space group Fm-3m (No. 225)
Asymmetric unit:
Na  0.000  0.000  0.000 (multiplicity 4)
Y  0.250  0.250  0.250 (multiplicity 8)
Cl  0.000  0.000  0.500 (multiplicity 4)

[4]
A relaxed structure of AgPb2. Source: the Alexandria database, functional GGA-PBEsol.

Summary:
Its magnetic moment is 0.00 μB/f.u. The value obtained for the electronic total energy is -43.9 eV for the cell shown. Its formation enthalpy at 0 K is 0.112 eV per atom.

Lattice parameters (Å, degrees): 6.871 6.871 6.871 90.00 90.00 90.00
Space group Fm-3m (No. 225)
Asymmetric unit:
Ag  0.000  0.000  0.000 (multiplicity 4)
Pb  0.250  0.250  0.250 (multiplicity 8)

[5]
A relaxed structure of ZrMo2Ru. Source: the Alexandria database, functional GGA-PBEsol.

Summary:
Its magnetic moment is 0.00 μB/f.u. The value obtained for the electronic total energy is -84.9 eV for the cell shown. Its formation enthalpy at 0 K is 0.093 eV per atom. Its distance to the lowest polymorph of the same formula is 0.06 eV per formula unit.

Lattice parameters (Å, degrees): 3.740 3.740 9.366 90.00 90.00 90.00
Space group I4/mmm (No. 139)
Asymmetric unit:
Zr  0.000  0.000  0.000 (multiplicity 2)
Mo  0.000  0.500  0.250 (multiplicity 4)
Ru  0.000  0.000  0.500 (multiplicity 2)

[6]
A relaxed structure of NbO2F. Source: the Alexandria database, functional GGA-PBEsol.

Summary:
Its magnetic moment is 0.00 μB/f.u. The value obtained for the electronic total energy is -136.1 eV for the cell shown.

Lattice parameters (Å, degrees): 9.588 5.662 5.657 90.00 126.02 90.00
Space group Cc (No. 9)
Asymmetric unit:
Nb  0.000  0.221  0.000 (multiplicity 4)
O  0.240  0.226  0.237 (multiplicity 4)
O  0.477  0.495  0.731 (multiplicity 4)
F  0.000  0.495  0.743 (multiplicity 4)

[7]
A relaxed structure of Na2SrPb2. Source: the Alexandria database, functional GGA-PBEsol.

Summary:
Its magnetic moment is 0.00 μB/f.u. The value obtained for the electronic total energy is -28.0 eV for the cell shown. Its formation enthalpy at 0 K is -0.271 eV per atom.

Lattice parameters (Å, degrees): 4.689 4.689 14.588 90.00 90.00 90.00
Space group I4/mmm (No. 139)
Asymmetric unit:
Na  0.000  0.500  0.250 (multiplicity 4)
Sr  0.000  0.000  0.000 (multiplicity 2)
Pb  0.000  0.000  0.400 (multiplicity 4)

[8]
A relaxed structure of TaRuRh2. Source: the Alexandria database, functional GGA-PBEsol.

Summary:
Its magnetic moment is 1.51 μB/f.u. The value obtained for the electronic total energy is -155.2 eV for the cell shown. Its formation enthalpy at 0 K is 0.047 eV per atom. Its distance to the lowest polymorph of the same formula is 2.08 eV per formula unit.

Lattice parameters (Å, degrees): 6.174 6.174 6.174 90.00 90.00 90.00
Space group Fm-3m (No. 225)
Asymmetric unit:
Ta  0.000  0.000  0.000 (multiplicity 4)
Ru  0.000  0.000  0.500 (multiplicity 4)
Rh  0.250  0.250  0.250 (multiplicity 8)

Q: Which formula does entry 7 have?
A: Na2SrPb2

Q: Look up the electronic total energy of the third one.
A: -68.7 eV for the cell shown